VASP calculation (PBE-GGA) on a relaxed structure of P4C.

Computed properties:
- DFT formation energy: 0.88 eV per atom
- Calculated total energy: -5.291 eV/atom
- Calculated volume: 73.8 Å³/f.u.
- Total magnetization: 0.000 μB per cell
- E above lowest polymorph: 0.0 meV per atom

Cell lengths 4.630, 4.630, 4.630 Å; angles 116.09, 116.09, 96.92 degrees
Element x y z (fractional)
1 P 0.724 0.724 0.000
2 P 0.276 0.276 0.000
3 P 0.750 0.250 0.500
4 P 0.250 0.750 0.500
5 C 0.000 0.000 0.000



VASP calculation (PBE-GGA) on a relaxed structure of LiDyYGe.

Computed properties:
- DFT formation energy: -0.43 eV per atom
- Calculated total energy: -4.829 eV/atom
- Calculated volume: 89.3 Å³/f.u.
- Total magnetization: 0.000 μB per cell

Cell lengths 5.018, 5.018, 5.018 Å; angles 60.00, 60.00, 60.00 degrees
Element x y z (fractional)
1 Ge 0.750 0.750 0.750
2 Li 0.250 0.250 0.250
3 Dy 0.500 0.500 0.500
4 Y 0.000 0.000 0.000



VASP calculation (PBE-GGA) on a relaxed structure of K2RbZn2.

Computed properties:
- DFT formation energy: 0.21 eV per atom
- Calculated total energy: -0.932 eV/atom
- Calculated volume: 216.6 Å³/f.u.
- Total magnetization: 0.000 μB per cell
- E above lowest polymorph: 93.6 meV per atom

Cell lengths 10.241, 10.241, 4.130 Å; angles 90.00, 90.00, 90.00 degrees
Element x y z (fractional)
1 K 0.132 0.368 0.000
2 K 0.632 0.132 0.000
3 K 0.868 0.632 0.000
4 K 0.368 0.868 0.000
5 Zn 0.663 0.837 0.500
6 Zn 0.163 0.663 0.500
7 Zn 0.837 0.337 0.500
8 Zn 0.337 0.163 0.500
9 Rb 0.500 0.500 0.000
10 Rb 0.000 0.000 0.000



VASP calculation (PBE-GGA) on a relaxed structure of NdSmMgRh.

Computed properties:
- DFT formation energy: -0.31 eV per atom
- Calculated total energy: -4.922 eV/atom
- Calculated volume: 98.8 Å³/f.u.
- Total magnetization: 0.000 μB per cell

Cell lengths 5.189, 5.189, 5.189 Å; angles 60.00, 60.00, 60.00 degrees
Element x y z (fractional)
1 Nd 0.750 0.750 0.750
2 Mg 0.000 0.000 0.000
3 Sm 0.250 0.250 0.250
4 Rh 0.500 0.500 0.500